(1)
Entry from Alexandria via LeMat-Bulk: a relaxed structure of Ca2PrScSe4 (GGA-PBE).

Geometry as CIF:
```
data_Ca2PrScSe4
_chemical_formula_sum 'Ca2 Pr1 Sc1 Se4'
_symmetry_space_group_name_H-M 'P 1 2/m 1'
_symmetry_Int_Tables_number 10
_symmetry_space_group_name_Hall '-P 2y'
_cell_length_a 7.129
_cell_length_b 4.112
_cell_length_c 7.252
_cell_angle_alpha 90.00
_cell_angle_beta 109.09
_cell_angle_gamma 90.00
loop_
_atom_site_label
_atom_site_fract_x
_atom_site_fract_y
_atom_site_fract_z
Ca1 0.000 0.000 0.000
Ca2 0.500 0.500 0.000
Pr1 0.000 0.500 0.500
Sc1 0.500 0.000 0.500
Se1 0.265 0.000 0.751
Se2 0.267 0.500 0.260
```

Results
DOS at the Fermi energy: 0.47 states/eV per atom
calculated density: 4.809 g cm⁻³
E: -0.20024 hartree per atom

(2)
Entry from Alexandria via LeMat-Bulk: a relaxed structure of Sc11Hg9Pt4 (GGA-PBE).

Geometry as CIF:
```
data_Sc11Hg9Pt4
_chemical_formula_sum 'Sc22 Hg18 Pt8'
_symmetry_space_group_name_H-M 'C m m m'
_symmetry_Int_Tables_number 65
_symmetry_space_group_name_Hall '-C 2 2'
_cell_length_a 14.052
_cell_length_b 21.018
_cell_length_c 3.373
_cell_angle_alpha 90.00
_cell_angle_beta 90.00
_cell_angle_gamma 90.00
loop_
_atom_site_label
_atom_site_fract_x
_atom_site_fract_y
_atom_site_fract_z
Sc1 0.000 0.000 0.000
Sc2 0.000 0.162 0.000
Sc3 0.000 0.366 0.000
Sc4 0.203 0.500 0.000
Sc5 0.246 0.170 0.000
Hg1 0.000 0.500 0.500
Hg2 0.109 0.257 0.500
Hg3 0.137 0.075 0.500
Pt1 0.150 0.400 0.500
```

Results
DOS at the Fermi energy: 0.80 states/eV per atom
formation enthalpy at 0 K: -699 meV/atom
calculated density: 10.270 g cm⁻³
E: -0.17350 hartree per atom

(3)
Entry from Alexandria via LeMat-Bulk: a relaxed structure of DySc2Tc (GGA-PBE).

Geometry as CIF:
```
data_DySc2Tc
_chemical_formula_sum 'Dy3 Sc6 Tc3'
_symmetry_space_group_name_H-M 'R -3 m'
_symmetry_Int_Tables_number 166
_symmetry_space_group_name_Hall '-R 3 2"'
_cell_length_a 3.2386
_cell_length_b 3.2386
_cell_length_c 31.2888
_cell_angle_alpha 90.00
_cell_angle_beta 90.00
_cell_angle_gamma 120.00
loop_
_atom_site_label
_atom_site_fract_x
_atom_site_fract_y
_atom_site_fract_z
Dy1 0.0000 0.0000 0.0000
Sc1 0.0000 0.0000 0.1052
Tc1 0.0000 0.0000 0.5000
```

Results
energy relative to the lowest polymorph listed for this composition: 0.3029 eV per atom
DOS at the Fermi energy: 1.49 states/eV per atom
formation enthalpy at 0 K: 146 meV/atom
calculated density: 6.142 g cm⁻³
E: -0.24851 hartree per atom

(4)
Entry from Alexandria via LeMat-Bulk: a relaxed structure of TcAgBr2 (GGA-PBE).

Geometry as CIF:
```
data_TcAgBr2
_chemical_formula_sum 'Tc2 Ag2 Br4'
_symmetry_space_group_name_H-M 'C 1 2/m 1'
_symmetry_Int_Tables_number 12
_symmetry_space_group_name_Hall '-C 2y'
_cell_length_a 7.021
_cell_length_b 8.516
_cell_length_c 3.498
_cell_angle_alpha 90.00
_cell_angle_beta 113.89
_cell_angle_gamma 90.00
loop_
_atom_site_label
_atom_site_fract_x
_atom_site_fract_y
_atom_site_fract_z
Tc1 0.000 0.000 0.000
Ag1 0.000 0.500 0.000
Br1 0.250 0.250 0.000
```

Results
energy relative to the lowest polymorph listed for this composition: 0.3759 eV per atom
DOS at the Fermi energy: 0.60 states/eV per atom
calculated density: 6.351 g cm⁻³
E: -0.13062 hartree per atom

(5)
Entry from Alexandria via LeMat-Bulk: a relaxed structure of Dy2AlZnPd2 (GGA-PBE).

Geometry as CIF:
```
data_Dy2AlZnPd2
_chemical_formula_sum 'Dy8 Al4 Zn4 Pd8'
_symmetry_space_group_name_H-M 'I b a m'
_symmetry_Int_Tables_number 72
_symmetry_space_group_name_Hall '-I 2 2c'
_cell_length_a 5.854
_cell_length_b 14.222
_cell_length_c 5.848
_cell_angle_alpha 90.00
_cell_angle_beta 90.00
_cell_angle_gamma 90.00
loop_
_atom_site_label
_atom_site_fract_x
_atom_site_fract_y
_atom_site_fract_z
Dy1 0.232 0.170 0.000
Al1 0.000 0.500 0.250
Zn1 0.000 0.000 0.250
Pd1 0.232 0.382 0.000
```

Results
DOS at the Fermi energy: 0.74 states/eV per atom
formation enthalpy at 0 K: -736 meV/atom
calculated density: 8.598 g cm⁻³
E: -0.17777 hartree per atom

(6)
Entry from Alexandria via LeMat-Bulk: a relaxed structure of Nd5SmTl6 (GGA-PBE).

Geometry as CIF:
```
data_Nd5SmTl6
_chemical_formula_sum 'Nd10 Sm2 Tl12'
_symmetry_space_group_name_H-M 'C m m m'
_symmetry_Int_Tables_number 65
_symmetry_space_group_name_Hall '-C 2 2'
_cell_length_a 5.533
_cell_length_b 16.610
_cell_length_c 7.742
_cell_angle_alpha 90.00
_cell_angle_beta 90.00
_cell_angle_gamma 90.00
loop_
_atom_site_label
_atom_site_fract_x
_atom_site_fract_y
_atom_site_fract_z
Nd1 0.000 0.000 0.000
Nd2 0.000 0.332 0.000
Nd3 0.000 0.333 0.500
Sm1 0.000 0.000 0.500
Tl1 0.000 0.166 0.252
Tl2 0.000 0.500 0.252
```

Results
DOS at the Fermi energy: 0.84 states/eV per atom
formation enthalpy at 0 K: -389 meV/atom
calculated density: 9.791 g cm⁻³
E: -0.14522 hartree per atom

(7)
Entry from Alexandria via LeMat-Bulk: a relaxed structure of ErThGa4 (GGA-PBE).

Geometry as CIF:
```
data_ErThGa4
_chemical_formula_sum 'Er4 Th4 Ga16'
_symmetry_space_group_name_H-M 'F -4 3 m'
_symmetry_Int_Tables_number 216
_symmetry_space_group_name_Hall 'F -4 2 3'
_cell_length_a 7.906
_cell_length_b 7.906
_cell_length_c 7.906
_cell_angle_alpha 90.00
_cell_angle_beta 90.00
_cell_angle_gamma 90.00
loop_
_atom_site_label
_atom_site_fract_x
_atom_site_fract_y
_atom_site_fract_z
Er1 0.000 0.000 0.000
Th1 0.250 0.250 0.750
Ga1 0.125 0.125 0.375
```

Results
energy relative to the lowest polymorph listed for this composition: 0.1486 eV per atom
DOS at the Fermi energy: 0.69 states/eV per atom
formation enthalpy at 0 K: -468 meV/atom
calculated density: 9.114 g cm⁻³
E: -0.16474 hartree per atom

(8)
Entry from Alexandria via LeMat-Bulk: a relaxed structure of ReRhW (GGA-PBE).

Geometry as CIF:
```
data_ReRhW
_chemical_formula_sum 'Re1 Rh1 W1'
_symmetry_space_group_name_H-M 'P 3 m 1'
_symmetry_Int_Tables_number 156
_symmetry_space_group_name_Hall 'P 3 -2"'
_cell_length_a 4.4395
_cell_length_b 4.4395
_cell_length_c 2.6772
_cell_angle_alpha 90.00
_cell_angle_beta 90.00
_cell_angle_gamma 120.00
loop_
_atom_site_label
_atom_site_fract_x
_atom_site_fract_y
_atom_site_fract_z
Re1 0.0000 0.0000 0.0000
Rh1 0.6667 0.3333 0.4982
W1 0.3333 0.6667 0.5228
```

Results
energy relative to the lowest polymorph listed for this composition: 0.0356 eV per atom
DOS at the Fermi energy: 0.60 states/eV per atom
formation enthalpy at 0 K: 48 meV/atom
calculated density: 17.186 g cm⁻³
E: -0.39946 hartree per atom

> DOS at the Fermi energy of number 5 (Dy2AlZnPd2)?

0.74 states/eV per atom

What did the third record say?
Entry from Alexandria via LeMat-Bulk: a relaxed structure of DySc2Tc (GGA-PBE).

Geometry as CIF:
```
data_DySc2Tc
_chemical_formula_sum 'Dy3 Sc6 Tc3'
_symmetry_space_group_name_H-M 'R -3 m'
_symmetry_Int_Tables_number 166
_symmetry_space_group_name_Hall '-R 3 2"'
_cell_length_a 3.2386
_cell_length_b 3.2386
_cell_length_c 31.2888
_cell_angle_alpha 90.00
_cell_angle_beta 90.00
_cell_angle_gamma 120.00
loop_
_atom_site_label
_atom_site_fract_x
_atom_site_fract_y
_atom_site_fract_z
Dy1 0.0000 0.0000 0.0000
Sc1 0.0000 0.0000 0.1052
Tc1 0.0000 0.0000 0.5000
```

Results
energy relative to the lowest polymorph listed for this composition: 0.3029 eV per atom
DOS at the Fermi energy: 1.49 states/eV per atom
formation enthalpy at 0 K: 146 meV/atom
calculated density: 6.142 g cm⁻³
E: -0.24851 hartree per atom